The following is a PBE calculation of a geometry-optimized CaFeCo4 structure, from Alexandria. Values from VASP.

Results
Formation energy from the elements   0.170 eV per atom
Uncorrected energy   -6.311 eV per atom

Structure (Quantum ESPRESSO input):
```
&SYSTEM
  ibrav = 0, nat = 6, ntyp = 3
/
ATOMIC_SPECIES
Fe 55.84 Fe.upf
Co 58.93 Co.upf
Ca 40.08 Ca.upf
ATOMIC_POSITIONS crystal
Fe 0.750 0.750 0.750
Co 0.376 0.376 0.872
Ca 0.000 0.000 0.000
Co 0.376 0.872 0.376
Co 0.376 0.376 0.376
Co 0.872 0.376 0.376
CELL_PARAMETERS angstrom
0.000 3.447 3.447
3.447 0.000 3.447
3.447 3.447 0.000
```

The following is a PBE calculation of a geometry-optimized InGaPb2 structure, from Alexandria. Values from VASP.

Results
Formation energy from the elements   0.119 eV per atom
Distance to the lowest polymorph of the same formula   73 meV per atom
Uncorrected energy   -3.176 eV per atom

Structure (Quantum ESPRESSO input):
```
&SYSTEM
  ibrav = 0, nat = 4, ntyp = 3
/
ATOMIC_SPECIES
In 114.82 In.upf
Ga 69.72 Ga.upf
Pb 207.20 Pb.upf
ATOMIC_POSITIONS crystal
In 0.500 0.500 0.499
Ga 0.668 0.668 0.996
Pb 0.070 0.070 0.789
Pb 0.261 0.261 0.216
CELL_PARAMETERS angstrom
4.644 0.000 0.000
2.322 4.022 0.000
2.322 1.341 6.423
```

The following is a PBE calculation of a geometry-optimized RbPrMgI6 structure, from Alexandria. Values from VASP.

Results
Formation energy (no corrections)   -1304 meV per atom
Uncorrected energy   -3.153 eV per atom

Structure (Quantum ESPRESSO input):
```
&SYSTEM
  ibrav = 0, nat = 18, ntyp = 4
/
ATOMIC_SPECIES
Pr 140.91 Pr.upf
I 126.90 I.upf
Mg 24.30 Mg.upf
Rb 85.47 Rb.upf
ATOMIC_POSITIONS crystal
Pr 0.667 0.333 0.750
I 0.381 0.362 0.358
I 0.982 0.362 0.142
I 0.638 0.018 0.358
I 0.381 0.018 0.142
Pr 0.333 0.667 0.250
Mg 0.333 0.667 0.750
I 0.018 0.638 0.858
I 0.362 0.381 0.858
I 0.982 0.619 0.358
I 0.619 0.638 0.642
I 0.638 0.619 0.142
Rb 0.000 0.000 0.000
I 0.619 0.982 0.858
Rb 0.000 0.000 0.500
I 0.018 0.381 0.642
I 0.362 0.982 0.642
Mg 0.667 0.333 0.250
CELL_PARAMETERS angstrom
7.927 0.000 0.000
-3.964 6.865 0.000
0.000 0.000 16.305
```

The following is a PBE calculation of a geometry-optimized SmCu2Sb2 structure, from Alexandria. Values from VASP.

Results
Formation energy (no corrections)   -491 meV per atom
Uncorrected energy   -4.723 eV per atom

Structure (Quantum ESPRESSO input):
```
&SYSTEM
  ibrav = 0, nat = 10, ntyp = 3
/
ATOMIC_SPECIES
Cu 63.55 Cu.upf
Sb 121.76 Sb.upf
Sm 150.36 Sm.upf
ATOMIC_POSITIONS crystal
Cu 0.971 0.250 0.942
Cu 0.029 0.750 0.058
Sb 0.750 0.250 0.500
Sb 0.250 0.750 0.500
Sm 0.639 0.750 0.278
Cu 0.472 0.750 0.943
Sb 0.902 0.750 0.805
Sm 0.361 0.250 0.722
Cu 0.528 0.250 0.057
Sb 0.098 0.250 0.195
CELL_PARAMETERS angstrom
0.229 2.807 -3.312
-0.137 -3.299 -2.806
-11.446 -0.743 1.433
```

The following is a PBE calculation of a geometry-optimized Ni4PdPt2 structure, from Alexandria. Values from VASP.

Results
Formation energy from the elements   0.960 eV per atom
Distance to the lowest polymorph of the same formula   528 meV per atom
Uncorrected energy   -4.812 eV per atom

Structure (Quantum ESPRESSO input):
```
&SYSTEM
  ibrav = 0, nat = 7, ntyp = 3
/
ATOMIC_SPECIES
Pd 106.42 Pd.upf
Pt 195.08 Pt.upf
Ni 58.69 Ni.upf
ATOMIC_POSITIONS crystal
Pd 0.000 0.000 0.000
Pt 0.390 0.390 0.781
Ni 0.500 0.000 0.000
Ni 0.000 0.500 0.000
Pt 0.610 0.610 0.219
Ni 0.197 0.197 0.393
Ni 0.803 0.803 0.607
CELL_PARAMETERS angstrom
-1.333 -3.186 2.830
-0.921 -2.680 -3.451
6.844 0.715 0.507
```

The following is a PBE calculation of a geometry-optimized TlSiAg structure, from Alexandria. Values from VASP.

Results
Formation energy (no corrections)   229 meV per atom
Uncorrected energy   -3.318 eV per atom

Structure (Quantum ESPRESSO input):
```
&SYSTEM
  ibrav = 0, nat = 6, ntyp = 3
/
ATOMIC_SPECIES
Ag 107.87 Ag.upf
Si 28.09 Si.upf
Tl 204.38 Tl.upf
ATOMIC_POSITIONS crystal
Ag 0.360 0.078 0.344
Si 0.742 0.648 0.153
Si 0.617 0.876 0.715
Tl 0.973 0.127 0.038
Ag 0.585 0.358 0.731
Tl 0.181 0.604 0.432
CELL_PARAMETERS angstrom
6.707 0.033 0.035
0.376 5.623 -0.006
1.012 -0.058 3.580
```

The following is a PBE calculation of a geometry-optimized YAlCd structure, from Alexandria. Values from VASP.

Results
Formation energy from the elements   -0.309 eV per atom
Uncorrected energy   -4.016 eV per atom

Structure (Quantum ESPRESSO input):
```
&SYSTEM
  ibrav = 0, nat = 6, ntyp = 3
/
ATOMIC_SPECIES
Y 88.91 Y.upf
Cd 112.41 Cd.upf
Al 26.98 Al.upf
ATOMIC_POSITIONS crystal
Y 0.679 0.315 0.442
Cd 0.488 0.933 0.941
Al 0.832 0.621 0.942
Y 0.984 0.927 0.441
Al 0.332 0.621 0.442
Cd 0.176 0.309 0.941
CELL_PARAMETERS angstrom
4.567 0.008 0.000
-2.294 6.897 0.000
0.000 0.000 4.374
```

The following is a PBE calculation of a geometry-optimized YCoSe2 structure, from Alexandria. Values from VASP.

Results
Formation energy (no corrections)   -948 meV per atom
Uncorrected energy   -6.083 eV per atom

Structure (Quantum ESPRESSO input):
```
&SYSTEM
  ibrav = 0, nat = 4, ntyp = 3
/
ATOMIC_SPECIES
Se 78.96 Se.upf
Co 58.93 Co.upf
Y 88.91 Y.upf
ATOMIC_POSITIONS crystal
Se 0.512 0.512 0.464
Co 0.250 0.250 0.250
Se 0.988 0.988 0.036
Y 0.750 0.750 0.750
CELL_PARAMETERS angstrom
4.022 0.002 -0.005
2.007 3.486 -0.005
2.013 1.165 5.856
```